1.
Below is a relaxed Sc2HgGe crystal, with properties calculated at the PBE level.

The structure belongs to space group P4/mmm (No. 123); the cell edges are 3.497, 3.497 and 6.712 Å and the angles 90.00°, 90.00° and 90.00°. The inequivalent atoms are Sc at (0.000, 0.000, 0.233), Hg at (0.500, 0.500, 0.500) and Ge at (0.500, 0.500, 0.000).

The spin magnetization comes out at 0.00 μB per formula unit. The volume comes out at 20.5 Å³ per atom. Its calculated formation energy is -518 meV/atom.



2.
Below is a relaxed CaMnZn2 crystal, with properties calculated at the PBE level.

The structure belongs to space group R3m (No. 160, hexagonal axes); the cell edges are 4.3756, 4.3756 and 15.5233 Å and the angles 90.00°, 90.00° and 120.00°. The inequivalent atoms are Ca at (0.0000, 0.0000, 0.0000), Mn at (0.0000, 0.0000, 0.1949), Zn at (0.0000, 0.0000, 0.4966) and Zn at (0.0000, 0.0000, 0.8058).

The spin magnetization comes out at 3.66 μB per formula unit. The volume comes out at 21.5 Å³ per atom. Its calculated formation energy is 36 meV/atom.



3.
Below is a relaxed NaPr2Ru crystal, with properties calculated at the PBE level.

The structure belongs to space group R3m (No. 160, hexagonal axes); the cell edges are 4.1242, 4.1242 and 28.0725 Å and the angles 90.00°, 90.00° and 120.00°. The inequivalent atoms are Na at (0.0000, 0.0000, 0.0000), Pr at (0.0000, 0.0000, 0.5534), Pr at (0.0000, 0.0000, 0.7779) and Ru at (0.0000, 0.0000, 0.1655).

The spin magnetization comes out at 0.00 μB per formula unit. The excess energy over the best structure of this formula in the dataset comes out at 34 meV/atom. The volume comes out at 34.5 Å³ per atom. Its calculated formation energy is -33 meV/atom.